9
Lattice="-1.288 -3.170 -3.981 -0.860 -5.001 0.804 -6.141 1.117 0.895" Properties=species:S:1:pos:R:3 comment="TlCrIO6 (PBE+U, optimized geometry)" crystal_system=monoclinic total_energy_ev_per_atom=-5.3891 space_group="C2, No. 5" total_magnetization_mub_per_atom=0.223 pbc="T T T"
Tl -6.999 -3.856 1.678
Cr -4.499 -4.832 -1.718
I -3.787 -2.170 -0.608
O -2.340 -1.616 0.590
O -4.629 -0.491 -0.921
O -5.260 -3.124 -1.478
O -4.663 -2.332 1.075
O -3.030 -3.912 -0.734
O -2.802 -1.597 -2.134